First-principles (PBE) data for an optimized crystal structure of AuCl5, as listed in OQMD.

```
12
Lattice="-0.0315 2.4429 -5.1029 -0.7413 -5.0177 -2.5063 -10.8502 1.2667 0.6734" Properties=species:S:1:pos:R:3 pbc="T T T"
Au -3.0573 0.6683 -4.1951
Au -8.7917 -1.9501 -2.7267
Cl -8.5994 1.2116 -5.6398
Cl -6.2440 -4.2648 -2.2022
Cl -8.2701 2.3088 -2.3970
Cl -0.7739 0.2734 -4.2934
Cl -0.1299 2.3439 -5.0594
Cl -6.4842 -2.0911 -2.9133
Cl -5.3471 1.0586 -4.0946
Cl -3.5711 -3.5915 -4.5253
Cl -3.2417 -2.4942 -1.2825
Cl -11.1047 -1.8030 -2.5415
```

Output
Mass density = 3.55 g cm⁻³
Calculated volume = 29.19 Å³ per atom
Calculated total energy = -2.19 eV per atom

First-principles (PBE) data for an optimized crystal structure of Nd2Dy3TmCoTe2, as listed in OQMD.

```
9
Lattice="-1.0553 -0.3352 -3.8189 4.2645 -7.3235 -0.5356 -8.1865 0.1059 2.2530" Properties=species:S:1:pos:R:3 pbc="T T T"
Dy -7.6670 -1.7489 0.2022
Dy 1.8178 -7.4083 -1.9220
Dy -3.5493 -5.7283 -0.5863
Nd -0.5597 -7.2594 0.7919
Nd -5.6722 -4.2088 1.9369
Te -4.4578 -2.5668 -0.6128
Te -0.4911 -4.9337 -1.5012
Co -0.1631 -0.3001 0.0714
Tm -1.5060 -2.7714 0.6594
```

Output
Mass density = 8.49 g cm⁻³
Calculated volume = 27.37 Å³ per atom
Calculated total energy = -5.27 eV per atom

First-principles (PBE) data for an optimized crystal structure of Bi12PtCl12, as listed in OQMD.

```
25
Lattice="-2.5493 -3.1069 -8.2848 -6.6443 -5.3151 3.6636 -6.1513 7.0175 -0.7611" Properties=species:S:1:pos:R:3 pbc="T T T"
Cl -6.7667 -5.8956 -2.7621
Cl -11.4289 -2.1941 -5.4608
Cl -4.6221 -3.5898 -4.9243
Cl -5.9365 -1.6872 2.1810
Cl -9.3909 0.2910 -7.5481
Cl -10.7433 2.2372 -0.4606
Cl -3.9040 0.8002 0.0667
Cl -8.5285 -4.1539 0.3852
Cl -8.6124 4.5506 -2.6230
Cl -11.3505 -1.4696 0.9494
Cl -6.7542 2.7978 -5.7826
Cl -3.9686 0.0907 -6.3584
Bi -7.4816 0.3597 -0.9411
Bi -2.2466 -1.3970 0.7141
Bi -9.6673 -1.6834 -2.2173
Bi -2.3250 -2.1228 -5.7238
Bi -7.0991 1.7775 -8.3668
Bi -13.0967 0.0281 -6.1051
Bi -6.4238 -2.4590 -2.1247
Bi -9.3515 1.0236 -3.2844
Bi -7.7425 -1.2369 -4.7223
Bi -13.0093 0.7099 0.3530
Bi -8.1953 -3.1406 2.9761
Bi -5.3457 0.0624 -3.1512
Pt -9.1854 -8.4148 -4.6206
```

Output
Mass density = 6.51 g cm⁻³
Calculated volume = 31.92 Å³ per atom
Calculated total energy = -3.70 eV per atom

First-principles (PBE) data for an optimized crystal structure of DyHoSn, as listed in OQMD.

```
3
Lattice="0.0000 3.6170 3.6170 3.6170 0.0000 3.6170 3.6170 3.6170 0.0000" Properties=species:S:1:pos:R:3 pbc="T T T"
Sn 0.0000 0.0000 0.0000
Dy 1.8085 1.8085 1.8085
Ho 5.4255 5.4255 5.4255
```

Output
Mass density = 7.83 g cm⁻³
Calculated volume = 31.55 Å³ per atom
Energy above the lowest structure with this stoichiometry = 0 meV/atom
Calculated total energy = -4.78 eV per atom

First-principles (PBE) data for an optimized crystal structure of Re13W16, as listed in OQMD.

```
29
Lattice="-4.8670 4.8670 4.8670 4.8670 -4.8670 4.8670 4.8670 4.8670 -4.8670" Properties=species:S:1:pos:R:3 pbc="T T T"
W 2.7842 -0.9163 0.9163
W 3.9506 2.0828 3.9506
W 0.9163 0.9163 6.9497
W 1.7592 1.7592 1.7592
W 3.1078 -3.1078 3.1078
W -0.9163 2.7842 0.9163
W 3.1078 3.1078 -3.1078
W 0.9163 6.9497 0.9163
W 0.9163 2.7842 -0.9163
W 2.7842 0.9163 -0.9163
W 2.0828 3.9506 3.9506
W -3.1078 3.1078 3.1078
W -0.9163 0.9163 2.7842
W 3.9506 3.9506 2.0828
W 0.9163 -0.9163 2.7842
W 6.9497 0.9163 0.9163
Re 3.5143 -0.4805 3.5143
Re 5.3475 1.3527 -1.3527
Re -1.3527 5.3475 1.3527
Re 5.3475 -1.3527 1.3527
Re 1.3527 4.3864 1.3527
Re 1.3527 5.3475 -1.3527
Re -0.4805 3.5143 3.5143
Re 1.3527 -1.3527 5.3475
Re 4.3864 1.3527 1.3527
Re 1.3527 1.3527 4.3864
Re 3.5143 3.5143 -0.4805
Re -1.3527 1.3527 5.3475
Re 0.0000 0.0000 0.0000
```

Output
Mass density = 19.31 g cm⁻³
Calculated volume = 15.90 Å³ per atom
Energy above the lowest structure with this stoichiometry = 102 meV/atom
Calculated total energy = -12.55 eV per atom
Formation energy from the elements = 0.164 eV/atom

First-principles (PBE) data for an optimized crystal structure of SrCdPtPb2, as listed in OQMD.

```
10
Lattice="-1.1511 -3.1218 -3.4535 4.4074 0.4148 -1.8440 3.8064 -9.1827 7.0319" Properties=species:S:1:pos:R:3 pbc="T T T"
Sr 3.2123 -2.2257 0.9413
Sr 2.2222 -8.3104 3.4419
Pb 5.4240 -7.5615 5.0273
Pb 3.5313 -5.9448 0.8672
Pb 1.9032 -4.5913 3.5159
Pb 0.0105 -2.9746 -0.6442
Cd 0.0000 0.0000 0.0000
Cd 1.6281 -1.3535 -2.6487
Pt 4.5787 -5.5221 3.4656
Pt 0.8558 -5.0140 0.9176
```

Output
Mass density = 9.60 g cm⁻³
Calculated volume = 28.00 Å³ per atom
Calculated total energy = -3.62 eV per atom